Entry from Alexandria via LeMat-Bulk: a PBEsol-optimized structure of HfCrRhCl2 (meta-GGA SCAN).

abc: 4.266 4.266 5.079
angles: 90.00 90.00 90.00
Last column: magnetic moment on the atom in μB.
Element x y z (fractional)
1 Cl 0.000 0.500 0.000  0.01
2 Cl 0.500 0.000 0.000  0.01
3 Rh 0.000 0.000 0.500  0.13
4 Cr 0.000 0.000 0.000  2.80
5 Hf 0.500 0.500 0.500  0.25

## Properties
Electronic total energy ... -129.80 eV for the cell shown
Density ... 7.3 Mg/m³
Energy relative to the elements, uncorrected ... 0.98 eV/f.u.
Magnetization ... 3.504 μB/f.u.
Space-group type ... P4/mmm, No. 123